[1]
# NdTm6Te8

A geometry-optimized NdTm6Te8 structure (PBE-GGA, the Alexandria database).

The structure in POSCAR format:
```
NdTm6Te8
1.0
4.621 2.668 6.111
-4.621 2.668 6.111
0.000 -5.336 6.111
Nd Tm Te
1 6 8
direct
0.000 0.000 0.000
0.075 0.451 0.693
0.307 0.925 0.549
0.451 0.693 0.075
0.549 0.307 0.925
0.693 0.075 0.451
0.925 0.549 0.307
0.105 0.807 0.375
0.193 0.625 0.895
0.324 0.324 0.324
0.375 0.105 0.807
0.625 0.895 0.193
0.676 0.676 0.676
0.807 0.375 0.105
0.895 0.193 0.625
```

Properties
ΔE_f (raw)   -1.155 eV per atom
Space-group type   No. 148
E   -4.9373 eV/atom

=====

[2]
# BeFeNiB

A geometry-optimized BeFeNiB structure (PBE-GGA, the Alexandria database).

The structure in POSCAR format:
```
BeFeNiB
1.0
5.076 0.000 0.000
0.000 5.076 0.000
0.000 0.000 5.076
Be Fe Ni B
4 4 4 4
direct
0.000 0.000 0.000
0.000 0.500 0.500
0.500 0.000 0.500
0.500 0.500 0.000
0.250 0.250 0.750
0.250 0.750 0.250
0.750 0.250 0.250
0.750 0.750 0.750
0.250 0.250 0.250
0.250 0.750 0.750
0.750 0.250 0.750
0.750 0.750 0.250
0.000 0.000 0.500
0.000 0.500 0.000
0.500 0.000 0.000
0.500 0.500 0.500
```

Properties
Space-group type   No. 216
E   -6.3923 eV/atom
Energy of formation   -22.2 kJ per mole of atoms

=====

[3]
# Sc5Ag2Hg12

A geometry-optimized Sc5Ag2Hg12 structure (PBE-GGA, the Alexandria database).

The structure in POSCAR format:
```
Sc5Ag2Hg12
1.0
6.886 -4.335 0.000
6.886 4.335 0.000
-0.219 0.000 7.153
Sc Ag Hg
5 2 12
direct
0.000 0.000 0.000
0.250 0.250 0.940
0.324 0.324 0.449
0.676 0.676 0.551
0.750 0.750 0.060
0.273 0.727 0.500
0.727 0.273 0.500
0.030 0.632 0.734
0.115 0.115 0.598
0.156 0.610 0.142
0.368 0.970 0.266
0.390 0.844 0.858
0.453 0.453 0.789
0.547 0.547 0.211
0.610 0.156 0.142
0.632 0.030 0.734
0.844 0.390 0.858
0.885 0.885 0.402
0.970 0.368 0.266
```

Properties
Space-group type   No. 12
E   -2.3117 eV/atom
Energy of formation   -14.9 kJ per mole of atoms

=====

[4]
# La5Pt2N

A geometry-optimized La5Pt2N structure (PBE-GGA, the Alexandria database).

The structure in POSCAR format:
```
La5Pt2N
1.0
2.614 -5.786 0.000
2.614 5.786 0.000
0.000 0.000 14.439
La Pt N
10 4 2
direct
0.104 0.896 0.618
0.104 0.896 0.882
0.250 0.750 0.250
0.395 0.605 0.618
0.395 0.605 0.882
0.605 0.395 0.118
0.605 0.395 0.382
0.750 0.250 0.750
0.896 0.104 0.118
0.896 0.104 0.382
0.250 0.750 0.056
0.250 0.750 0.444
0.750 0.250 0.556
0.750 0.250 0.944
0.250 0.750 0.750
0.750 0.250 0.250
```

Properties
ΔE_f (raw)   -0.842 eV per atom
Space-group type   No. 63
E   -6.4728 eV/atom

=====

[5]
# Na2LaYO4

A geometry-optimized Na2LaYO4 structure (PBE-GGA, the Alexandria database).

The structure in POSCAR format:
```
Na2LaYO4
1.0
5.980 0.000 0.000
0.000 3.549 0.000
-2.130 0.000 5.786
Na La Y O
2 1 1 4
direct
0.000 0.000 0.000
0.000 0.500 0.500
0.500 0.000 0.500
0.500 0.500 0.000
0.286 0.500 0.248
0.287 0.000 0.772
0.713 0.000 0.228
0.714 0.500 0.752
```

Properties
ΔE_f (raw)   -2.699 eV per atom
Space-group type   No. 10
E   -6.9314 eV/atom

=====

[6]
# CuRu2Pb

A geometry-optimized CuRu2Pb structure (PBE-GGA, the Alexandria database).

The structure in POSCAR format:
```
CuRu2Pb
1.0
8.859 0.000 0.000
0.000 3.027 0.000
-0.831 0.000 4.877
Cu Ru Pb
2 4 2
direct
0.000 0.000 0.000
0.500 0.500 0.000
0.246 0.500 0.244
0.488 0.000 0.432
0.746 0.000 0.244
0.988 0.500 0.432
0.243 0.000 0.744
0.743 0.500 0.744
```

Properties
Space-group type   No. 8
E   -6.0907 eV/atom
Energy of formation   48.1 kJ per mole of atoms

=====

Among the records above, which one has the lowest E?
Na2LaYO4

=====

Repeat the sixth record exactly.
# CuRu2Pb

A geometry-optimized CuRu2Pb structure (PBE-GGA, the Alexandria database).

The structure in POSCAR format:
```
CuRu2Pb
1.0
8.859 0.000 0.000
0.000 3.027 0.000
-0.831 0.000 4.877
Cu Ru Pb
2 4 2
direct
0.000 0.000 0.000
0.500 0.500 0.000
0.246 0.500 0.244
0.488 0.000 0.432
0.746 0.000 0.244
0.988 0.500 0.432
0.243 0.000 0.744
0.743 0.500 0.744
```

Properties
Space-group type   No. 8
E   -6.0907 eV/atom
Energy of formation   48.1 kJ per mole of atoms